one:
A plane-wave DFT calculation with PBE was carried out for an optimized crystal structure of TiCuMo3.

Cell lengths 4.515, 4.515, 4.515 Å; angles 90.00, 90.00, 90.00 degrees
Sites, in units of the cell vectors:
Mo 0.000 0.500 0.000
Mo 0.000 0.000 0.500
Mo 0.500 0.000 0.000
Cu 0.000 0.000 0.000
Ti 0.500 0.500 0.500

Computed properties:
ρ (g/cm³): 7.202
SG: Pm-3m (221)
Size of the total moment (μB/cell): 0.000

---

two:
A plane-wave DFT calculation with PBE was carried out for an optimized crystal structure of TiCuMo3.

Cell lengths 4.533, 4.533, 4.533 Å; angles 90.00, 90.00, 90.00 degrees
Sites, in units of the cell vectors:
Mo 0.000 0.500 0.000
Mo 0.000 0.000 0.500
Mo 0.500 0.000 0.000
Cu 0.500 0.500 0.500
Ti 0.000 0.000 0.000

Computed properties:
ρ (g/cm³): 7.118
SG: Pm-3m (221)
Size of the total moment (μB/cell): 0.000

---

Most stable = one

---

one:
A plane-wave DFT calculation with PBE was carried out for an optimized crystal structure of Ti2Cu2Mo.

Cell lengths 7.303, 7.303, 2.760 Å; angles 90.00, 90.00, 90.00 degrees
Site moments in Bohr magnetons follow the coordinates.
Sites, in units of the cell vectors:
Mo 0.000 0.000 0.000  0.11
Mo 0.500 0.500 0.000  0.11
Cu 0.381 0.881 0.000  0.04
Cu 0.881 0.619 0.000  0.03
Cu 0.619 0.119 0.000  0.04
Cu 0.119 0.381 0.000  0.03
Ti 0.179 0.679 0.500  0.36
Ti 0.679 0.821 0.500  0.39
Ti 0.821 0.321 0.500  0.36
Ti 0.321 0.179 0.500  0.39

Computed properties:
ρ (g/cm³): 7.192
SG: P4/mbm (127)
Size of the total moment (μB/cell): 2.224

---

two:
A plane-wave DFT calculation with PBE was carried out for an optimized crystal structure of Ti2Cu2Mo.

Cell lengths 7.195, 7.195, 2.883 Å; angles 90.00, 90.00, 90.00 degrees
Site moments in Bohr magnetons follow the coordinates.
Sites, in units of the cell vectors:
Mo 0.000 0.000 0.000  -0.06
Mo 0.500 0.500 0.000  -0.06
Cu 0.133 0.633 0.500  0.04
Cu 0.633 0.867 0.500  0.04
Cu 0.867 0.367 0.500  0.04
Cu 0.367 0.133 0.500  0.04
Ti 0.338 0.838 0.000  0.26
Ti 0.838 0.662 0.000  0.27
Ti 0.662 0.162 0.000  0.26
Ti 0.162 0.338 0.000  0.27

Computed properties:
ρ (g/cm³): 7.093
SG: P4/mbm (127)
Size of the total moment (μB/cell): 1.273

---

Most stable = one

---

one:
A plane-wave DFT calculation with PBE was carried out for an optimized crystal structure of Ti4CuMo.

Cell lengths 4.455, 4.452, 6.884 Å; angles 71.18, 71.12, 59.98 degrees
Site moments in Bohr magnetons follow the coordinates.
Sites, in units of the cell vectors:
Ti 0.629 0.629 0.113  0.04
Ti 0.371 0.371 0.887  0.04
Ti 0.131 0.132 0.606  0.58
Ti 0.869 0.868 0.394  0.58
Cu 0.500 0.500 0.500  0.06
Mo 0.000 0.000 0.000  -0.07

Computed properties:
ρ (g/cm³): 5.313
SG: C2/m (12)
Size of the total moment (μB/cell): 1.528

---

two:
A plane-wave DFT calculation with PBE was carried out for an optimized crystal structure of Ti4CuMo.

Cell lengths 3.141, 3.141, 9.654 Å; angles 89.99, 89.99, 90.00 degrees
Sites, in units of the cell vectors:
Ti 0.500 0.500 0.840
Ti 0.500 0.500 0.160
Ti 0.000 0.000 0.661
Ti 0.000 0.000 0.339
Cu 0.500 0.500 0.500
Mo 0.000 0.000 0.000

Computed properties:
ρ (g/cm³): 6.118
SG: P4/mmm (123)
Size of the total moment (μB/cell): 0.000

---

Most stable = two

---

one:
A plane-wave DFT calculation with PBE was carried out for an optimized crystal structure of Ti3CuMo.

Cell lengths 4.511, 4.511, 4.511 Å; angles 90.00, 90.00, 90.00 degrees
Sites, in units of the cell vectors:
Mo 0.500 0.500 0.500
Cu 0.000 0.000 0.000
Ti 0.000 0.500 0.000
Ti 0.000 0.000 0.500
Ti 0.500 0.000 0.000

Computed properties:
ρ (g/cm³): 5.484
SG: Pm-3m (221)
Size of the total moment (μB/cell): 0.000

---

two:
A plane-wave DFT calculation with PBE was carried out for an optimized crystal structure of Ti3CuMo.

Cell lengths 4.713, 4.713, 4.713 Å; angles 90.00, 90.00, 90.00 degrees
Sites, in units of the cell vectors:
Mo 0.000 0.000 0.000
Cu 0.500 0.500 0.500
Ti 0.000 0.500 0.000
Ti 0.000 0.000 0.500
Ti 0.500 0.000 0.000

Computed properties:
ρ (g/cm³): 4.808
SG: Pm-3m (221)
Size of the total moment (μB/cell): 0.000

---

Most stable = one

---

one:
A plane-wave DFT calculation with PBE was carried out for an optimized crystal structure of Tl2CuMo.

Cell lengths 4.600, 4.598, 3.591 Å; angles 90.00, 90.00, 90.00 degrees
Sites, in units of the cell vectors:
Cu 0.500 0.000 0.500
Mo 0.000 0.500 0.500
Tl 0.000 0.000 0.000
Tl 0.500 0.500 0.000

Computed properties:
ρ (g/cm³): 12.425
SG: P4/mmm (123)
Size of the total moment (μB/cell): 0.000

---

two:
A plane-wave DFT calculation with PBE was carried out for an optimized crystal structure of Tl2CuMo.

Cell lengths 5.634, 5.661, 2.996 Å; angles 75.70, 87.97, 119.23 degrees
Site moments in Bohr magnetons follow the coordinates.
Sites, in units of the cell vectors:
Cu 0.000 0.500 0.500  0.00
Mo 0.500 0.500 0.000  0.11
Tl 0.000 0.000 0.000  0.00
Tl 0.500 0.000 0.500  0.00

Computed properties:
ρ (g/cm³): 11.880
SG: C2/m (12)
Size of the total moment (μB/cell): 0.121

---

three:
A plane-wave DFT calculation with PBE was carried out for an optimized crystal structure of Tl2CuMo.

Cell lengths 3.121, 3.121, 9.327 Å; angles 90.00, 90.00, 119.18 degrees
Sites, in units of the cell vectors:
Cu 0.500 0.500 0.250
Mo 0.500 0.500 0.750
Tl 0.000 0.000 0.010
Tl 0.000 0.000 0.490

Computed properties:
ρ (g/cm³): 11.896
SG: Cmmm (65)
Size of the total moment (μB/cell): 0.000

---

four:
A plane-wave DFT calculation with PBE was carried out for an optimized crystal structure of Tl2CuMo.

Cell lengths 9.393, 9.393, 9.393 Å; angles 19.18, 19.18, 19.18 degrees
Site moments in Bohr magnetons follow the coordinates.
Sites, in units of the cell vectors:
Cu 0.250 0.250 0.250  0.00
Mo 0.750 0.750 0.750  0.23
Tl 0.997 0.997 0.997  0.00
Tl 0.503 0.503 0.503  0.00

Computed properties:
ρ (g/cm³): 12.073
SG: R-3m (166)
Size of the total moment (μB/cell): 0.246

---

Most stable = one

---

one:
A plane-wave DFT calculation with PBE was carried out for an optimized crystal structure of TlCu2Mo2.

Cell lengths 7.428, 7.428, 3.069 Å; angles 90.00, 90.00, 90.00 degrees
Sites, in units of the cell vectors:
Tl 0.000 0.000 0.000
Tl 0.500 0.500 0.000
Mo 0.390 0.890 0.000
Mo 0.890 0.610 0.000
Mo 0.610 0.110 0.000
Mo 0.110 0.390 0.000
Cu 0.181 0.681 0.500
Cu 0.681 0.819 0.500
Cu 0.819 0.319 0.500
Cu 0.319 0.181 0.500

Computed properties:
ρ (g/cm³): 10.265
SG: P4/mbm (127)
Size of the total moment (μB/cell): 0.000

---

two:
A plane-wave DFT calculation with PBE was carried out for an optimized crystal structure of TlCu2Mo2.

Cell lengths 3.774, 3.774, 6.615 Å; angles 73.42, 73.42, 90.00 degrees
Sites, in units of the cell vectors:
Tl 0.000 0.000 0.000
Mo 0.401 0.401 0.197
Mo 0.599 0.599 0.803
Cu 0.750 0.250 0.500
Cu 0.250 0.750 0.500

Computed properties:
ρ (g/cm³): 10.079
SG: I4/mmm (139)
Size of the total moment (μB/cell): 0.000

---

Most stable = one